Zr2WCl: relaxed, GGA-PBE.

Properties
E above lowest polymorph (meV per atom): 1219
Raw formation energy (eV/f.u.): 3.12
Space-group type: No. 122

Unit cell a=7.898 b=7.898 c=7.898 alpha=139.03 beta=139.03 gamma=59.32
Positions (direct):
Zr (0.107, 0.625, 0.982)
Zr (0.375, 0.357, 0.482)
Zr (0.643, 0.125, 0.018)
Zr (0.875, 0.893, 0.518)
W (0.000, 0.000, 0.000)
W (0.750, 0.250, 0.500)
Cl (0.250, 0.750, 0.500)
Cl (0.500, 0.500, 0.000)